1.
A relaxed Be2AgTe crystal. Source: the Alexandria database, functional PBEsol.

## Properties
- magnetization (μB/f.u.) = 0.0
- energy relative to the elements, uncorrected (eV per atom) = 0.580
- calculated density (Mg/m³) = 6.59

abc: 3.432 4.397 4.397
angles: 105.86 90.00 90.00
Sites, in units of the cell vectors:
Be  0.000  0.500  0.000
Be  0.000  0.000  0.500
Te  0.500  0.000  0.000
Ag  0.500  0.500  0.500

***

2.
A relaxed LiCdPt2 crystal. Source: the Alexandria database, functional PBEsol.

## Properties
- magnetization (μB/f.u.) = 0.0
- energy relative to the elements (eV/f.u.) = -1.34
- calculated density (Mg/m³) = 13.78

abc: 4.015 4.015 4.750
angles: 115.00 115.00 90.00
Sites, in units of the cell vectors:
Cd  0.500  0.500  0.000
Pt  0.750  0.250  0.500
Pt  0.000  0.000  0.000
Li  0.250  0.750  0.500

***

3.
A relaxed Ba2Co2Br crystal. Source: the Alexandria database, functional PBEsol.

## Properties
- magnetization (μB/f.u.) = 2.8
- energy relative to the elements, uncorrected (eV per atom) = -0.187
- calculated density (Mg/m³) = 6.35

abc: 3.576 3.576 9.992
angles: 100.31 100.31 90.00
Site moments in Bohr magnetons follow the coordinates.
Sites, in units of the cell vectors:
Ba  0.379  0.379  0.759  -0.07
Ba  0.621  0.621  0.241  -0.07
Co  0.250  0.750  0.500  1.54
Co  0.750  0.250  0.500  1.54
Br  0.000  0.000  0.000  -0.01

***

4.
A relaxed LaZnIn crystal. Source: the Alexandria database, functional PBEsol.

## Properties
- magnetization (μB/f.u.) = 0.0
- energy relative to the elements (eV/f.u.) = -1.39
- calculated density (Mg/m³) = 7.14

abc: 4.715 4.715 7.708
angles: 90.00 90.00 120.00
Sites, in units of the cell vectors:
La  0.000  0.000  0.500
La  0.000  0.000  0.000
Zn  0.333  0.667  0.750
Zn  0.667  0.333  0.250
In  0.667  0.333  0.750
In  0.333  0.667  0.250

***

5.
A relaxed In2PW crystal. Source: the Alexandria database, functional PBEsol.

## Properties
- magnetization (μB/f.u.) = 0.0
- energy relative to the elements (eV/f.u.) = 1.14
- calculated density (Mg/m³) = 9.29

abc: 2.954 2.954 9.782
angles: 90.00 90.00 111.43
Sites, in units of the cell vectors:
P  0.000  0.000  0.450
W  0.500  0.500  0.278
In  0.500  0.500  0.739
In  0.000  0.000  0.033

***

6.
A relaxed DyInCu2 crystal. Source: the Alexandria database, functional PBEsol.

## Properties
- magnetization (μB/f.u.) = 0.0
- energy relative to the elements (eV/f.u.) = -1.41
- calculated density (Mg/m³) = 9.72

abc: 4.606 4.606 4.606
angles: 60.00 60.00 60.00
Sites, in units of the cell vectors:
Cu  0.750  0.750  0.750
Cu  0.250  0.250  0.250
In  0.000  0.000  0.000
Dy  0.500  0.500  0.500

***

7.
A relaxed ZrZnPt crystal. Source: the Alexandria database, functional PBEsol.

## Properties
- magnetization (μB/f.u.) = 0.0
- energy relative to the elements (eV/f.u.) = -2.30
- calculated density (Mg/m³) = 11.93

abc: 2.870 4.438 4.438
angles: 120.00 90.00 90.00
Sites, in units of the cell vectors:
Zr  0.500  0.667  0.333
Pt  0.000  0.000  0.000
Zn  0.000  0.333  0.667

***

8.
A relaxed TlFe2NCl crystal. Source: the Alexandria database, functional PBEsol.

## Properties
- magnetization (μB/f.u.) = 5.8
- energy relative to the elements, uncorrected (eV per atom) = 1.350
- calculated density (Mg/m³) = 7.94

abc: 4.198 4.198 4.336
angles: 90.00 90.00 90.00
Site moments in Bohr magnetons follow the coordinates.
Sites, in units of the cell vectors:
Fe  0.500  0.000  0.000  2.53
Fe  0.000  0.500  0.000  2.53
N  0.000  0.000  0.500  0.55
Tl  0.500  0.500  0.500  0.01
Cl  0.000  0.000  0.000  0.06

***

9.
A relaxed LuTaOs2 crystal. Source: the Alexandria database, functional PBEsol.

## Properties
- magnetization (μB/f.u.) = 0.0
- energy relative to the elements (eV/f.u.) = -1.52
- calculated density (Mg/m³) = 18.51

abc: 4.538 4.538 4.538
angles: 60.00 60.00 60.00
Sites, in units of the cell vectors:
Ta  0.500  0.500  0.500
Os  0.250  0.250  0.250
Os  0.750  0.750  0.750
Lu  0.000  0.000  0.000

***

10.
A relaxed K2AgSnRh crystal. Source: the Alexandria database, functional PBEsol.

## Properties
- magnetization (μB/f.u.) = 0.0
- energy relative to the elements (eV/f.u.) = 4.32
- calculated density (Mg/m³) = 4.59

abc: 5.204 5.324 5.324
angles: 90.00 90.00 90.00
Sites, in units of the cell vectors:
K  0.000  0.000  0.500
K  0.000  0.500  0.000
Ag  0.500  0.000  0.000
Rh  0.000  0.000  0.000
Sn  0.500  0.500  0.500

***

11.
A relaxed Li3CaMg crystal. Source: the Alexandria database, functional PBEsol.

## Properties
- magnetization (μB/f.u.) = 0.0
- energy relative to the elements (eV/f.u.) = 1.11
- calculated density (Mg/m³) = 1.03

abc: 5.160 5.160 5.160
angles: 90.00 90.00 90.00
Sites, in units of the cell vectors:
Mg  0.000  0.000  0.000
Li  0.000  0.500  0.000
Li  0.000  0.000  0.500
Li  0.500  0.000  0.000
Ca  0.500  0.500  0.500

***

12.
A relaxed As2IrRu2 crystal. Source: the Alexandria database, functional PBEsol.

## Properties
- magnetization (μB/f.u.) = 0.0
- energy relative to the elements (eV/f.u.) = 1.96
- calculated density (Mg/m³) = 11.81

abc: 3.690 3.690 6.194
angles: 107.33 107.33 90.00
Sites, in units of the cell vectors:
Ir  0.000  0.000  0.000
Ru  0.392  0.392  0.785
Ru  0.608  0.608  0.215
As  0.750  0.250  0.500
As  0.250  0.750  0.500